No. 1
AcNd5Sm2: relaxed, GGA-PBE.

## Properties
**Symmetry**: Pbam, No. 55
**Magnetic moment**: 0.0 μB/f.u.
**E_tot**: -74.42 eV for the cell shown
**DOS at the Fermi energy**: 25.18 states/eV per cell
**Calculated density**: 7.21 g/cm3

a = 5.2336 Å, b = 7.4122 Å, c = 14.8354 Å
α = 90.00°, β = 90.00°, γ = 90.00°
Closest atoms and distances in Å follow each position.
Fractional positions:
Sm 0.5000 0.7488 0.3727  10 Nd 3.64-3.77, 2 Ac 3.73
Nd 0.0000 0.9986 0.7526  4 Sm 3.66-3.72, 7 Nd 3.66-3.71, 1 Ac 3.75
Nd 0.5000 0.2532 0.3728  4 Sm 3.64-3.77, 6 Nd 3.66-3.71, 2 Ac 3.73
Nd 0.0000 0.5014 0.2526  4 Sm 3.66-3.72, 7 Nd 3.66-3.71, 1 Ac 3.75
Nd 0.0000 0.5000 0.5000  6 Nd 3.67-3.71, 2 Ac 3.71, 4 Sm 3.72
Ac 0.0000 0.5000 0.0000  8 Nd 3.71-3.75, 4 Sm 3.73
Ac 0.0000 0.0000 0.5000  8 Nd 3.71-3.75, 4 Sm 3.73
Sm 0.5000 0.2488 0.1273  10 Nd 3.64-3.77, 2 Ac 3.73
Nd 0.5000 0.7532 0.1272  4 Sm 3.64-3.77, 6 Nd 3.66-3.71, 2 Ac 3.73
Sm 0.5000 0.2512 0.6273  10 Nd 3.64-3.77, 2 Ac 3.73
Sm 0.5000 0.7512 0.8727  10 Nd 3.64-3.77, 2 Ac 3.73
Nd 0.5000 0.2468 0.8728  4 Sm 3.64-3.77, 6 Nd 3.66-3.71, 2 Ac 3.73
Nd 0.5000 0.7468 0.6272  4 Sm 3.64-3.77, 6 Nd 3.66-3.71, 2 Ac 3.73
Nd 0.0000 0.4986 0.7474  4 Sm 3.66-3.72, 7 Nd 3.66-3.71, 1 Ac 3.75
Nd 0.0000 0.0014 0.2474  4 Sm 3.66-3.72, 7 Nd 3.66-3.71, 1 Ac 3.75
Nd 0.0000 0.0000 0.0000  6 Nd 3.67-3.71, 2 Ac 3.71, 4 Sm 3.72

No. 2
Nd3Sm6Er2Mg: relaxed, GGA-PBE.

## Properties
**Symmetry**: C2/m, No. 12
**Magnetic moment**: 0.0 μB/f.u.
**E_tot**: -52.96 eV for the cell shown
**DOS at the Fermi energy**: 15.39 states/eV per cell
**Calculated density**: 7.13 g/cm3

a = 6.2535 Å, b = 6.2535 Å, c = 11.8321 Å
α = 95.08°, β = 95.08°, γ = 120.05°
Closest atoms and distances in Å follow each position.
Fractional positions:
Sm 0.7480 0.7480 0.2447  2 Er 3.53, 1 Mg 3.53, 6 Sm 3.60-3.62, 3 Nd 3.63
Sm 0.5878 0.9200 0.7567  1 Mg 3.51, 2 Er 3.52, 6 Sm 3.60-3.62, 3 Nd 3.64-3.65
Sm 0.2520 0.2520 0.7553  2 Er 3.53, 1 Mg 3.53, 6 Sm 3.60-3.62, 3 Nd 3.63
Nd 0.5000 0.5000 0.5000  6 Nd 3.61, 6 Sm 3.63-3.64
Nd 0.8334 0.1666 0.5000  6 Nd 3.61, 6 Sm 3.63-3.65
Sm 0.0800 0.4122 0.2433  1 Mg 3.51, 2 Er 3.52, 6 Sm 3.60-3.62, 3 Nd 3.64-3.65
Mg 0.0000 0.0000 0.0000  6 Sm 3.51-3.53, 6 Er 3.61
Sm 0.9200 0.5878 0.7567  1 Mg 3.51, 2 Er 3.52, 6 Sm 3.60-3.62, 3 Nd 3.64-3.65
Er 0.6664 0.3336 0.0000  6 Sm 3.52-3.53, 3 Er 3.61, 3 Mg 3.61
Nd 0.1666 0.8334 0.5000  6 Nd 3.61, 6 Sm 3.63-3.65
Er 0.3336 0.6664 0.0000  6 Sm 3.52-3.53, 3 Er 3.61, 3 Mg 3.61
Sm 0.4122 0.0800 0.2433  1 Mg 3.51, 2 Er 3.52, 6 Sm 3.60-3.62, 3 Nd 3.64-3.65

No. 3
RbSr3Co: relaxed, GGA-PBE.

## Properties
**Symmetry**: Pm-3m, No. 221
**Magnetic moment**: 0.0 μB/f.u.
**E_tot**: -11.70 eV for the cell shown
**DOS at the Fermi energy**: 8.06 states/eV per cell
**Calculated density**: 3.00 g/cm3

a = 6.0851 Å, b = 6.0851 Å, c = 6.0851 Å
α = 90.00°, β = 90.00°, γ = 90.00°
Closest atoms and distances in Å follow each position.
Fractional positions:
Sr 0.5000 0.0000 0.0000  2 Co 3.04
Co 0.0000 0.0000 0.0000  6 Sr 3.04
Sr 0.0000 0.5000 0.0000  2 Co 3.04
Rb 0.5000 0.5000 0.5000  12 Sr 4.30
Sr 0.0000 0.0000 0.5000  2 Co 3.04